Below is an optimized crystal structure of CrS2O2, with properties calculated at the PBE+U level.

**Symmetry**: I4/mmm (139)
**Final energy**: -20.7 eV per cell
**Energy above the most stable polymorph in this dataset**: 1119 meV per atom
**Size of the total moment**: 0.0 μB/f.u.

abc: 4.730 4.730 4.730
angles: 126.82 126.82 78.54
Atoms (fractional coordinates):
Cr 0.000 0.000 0.000
S 0.374 0.374 0.000
S 0.626 0.626 0.000
O 0.250 0.750 0.500
O 0.750 0.250 0.500